[1]
PBE Cr2MoAs, optimized geometry; DOS(E_F) = 4.8 states/eV/f.u.; E_form = 108 kJ/mol of formula units
1.0
-0.135 -4.690 -1.128
2.869 2.832 -2.771
2.539 -0.749 0.862
As Cr Mo
1 2 1
direct
0.500 0.500 0.000 As
0.000 0.000 0.000 Cr
0.500 0.000 0.500 Cr
0.000 0.500 0.500 Mo

=====

[2]
PBE MgZnO, optimized geometry; DFT total energy = -12.073 eV for the cell shown; DOS(E_F) = 0.5 states/eV/f.u.
1.0
-2.174 1.107 1.453
-0.801 -2.608 0.789
2.971 0.352 4.176
Mg Zn O
1 1 1
direct
0.000 0.000 0.932 Mg
0.500 0.500 0.436 Zn
0.500 0.500 0.881 O